Record 1
BaIn2Pd4: optimized geometry, PBE-GGA.

Computed properties:
ΔH_f (0 K) = -0.477 eV per atom
Total magnetization = 0.00 μB/f.u.

a = 4.3244 Å, b = 8.3112 Å, c = 8.3112 Å
α = 90.00°, β = 90.00°, γ = 90.00°
With the nearest neighbours (Å) after each atom.
Fractional coordinates of all 14 atoms:
Ba (0.5000, 0.0000, 0.0000)  6 In 3.25-3.40
Ba (0.0000, 0.5000, 0.5000)  6 In 3.25-3.40
Pd (0.0000, 0.0866, 0.3517)  3 In 2.75-2.79, 5 Pd 2.85-2.96
Pd (0.5000, 0.8517, 0.4134)  3 In 2.75-2.79, 5 Pd 2.85-2.96
Pd (0.0000, 0.3517, 0.0866)  3 In 2.75-2.79, 5 Pd 2.85-2.96
Pd (0.5000, 0.4134, 0.8517)  3 In 2.75-2.79, 5 Pd 2.85-2.96
Pd (0.5000, 0.1483, 0.5866)  3 In 2.75-2.79, 5 Pd 2.85-2.96
Pd (0.0000, 0.9134, 0.6483)  3 In 2.75-2.79, 5 Pd 2.85-2.96
Pd (0.0000, 0.6483, 0.9134)  3 In 2.75-2.79, 5 Pd 2.85-2.96
Pd (0.5000, 0.5866, 0.1483)  3 In 2.75-2.79, 5 Pd 2.85-2.96
In (0.0000, 0.7765, 0.2235)  6 Pd 2.75-2.79
In (0.5000, 0.7235, 0.7235)  6 Pd 2.75-2.79
In (0.0000, 0.2235, 0.7765)  6 Pd 2.75-2.79
In (0.5000, 0.2765, 0.2765)  6 Pd 2.75-2.79



Record 2
CaRe2Tc: optimized geometry, PBE-GGA.

Computed properties:
ΔH_f (0 K) = 0.553 eV per atom
Total magnetization = 0.00 μB/f.u.

a = 5.4997 Å, b = 5.4997 Å, c = 5.4997 Å
α = 147.90°, β = 127.59°, γ = 62.80°
With the nearest neighbours (Å) after each atom.
Fractional coordinates of all 4 atoms:
Re (0.9699, 0.9699, 0.0000)  2 Re 2.56
Re (0.7506, 0.2506, 0.5000)  2 Re 2.56, 2 Tc 2.58, 4 Ca 2.87
Tc (0.5285, 0.5285, 0.0000)  2 Re 2.58
Ca (0.2510, 0.7510, 0.5000)  8 Re 2.87-3.18, 4 Tc 3.02-3.20, 2 Ca 3.04



Record 3
VNiAu2: optimized geometry, PBE-GGA.

Computed properties:
ΔH_f (0 K) = 0.139 eV per atom
Total magnetization = 0.79 μB/f.u.

a = 4.4206 Å, b = 4.4206 Å, c = 4.4214 Å
α = 60.01°, β = 60.01°, γ = 60.00°
With the nearest neighbours (Å) after each atom.
Fractional coordinates of all 4 atoms:
Au (0.2499, 0.2499, 0.2502)  4 V 2.71, 4 Au 2.71
Au (0.0000, 0.0000, 0.0000)  4 Ni 2.71, 4 Au 2.71
V (0.5000, 0.5000, 0.5001)  4 Ni 2.71, 4 Au 2.71
Ni (0.7501, 0.7501, 0.7497)  4 Au 2.71, 4 V 2.71



Record 4
KBeSe2: optimized geometry, PBE-GGA.

Computed properties:
Total magnetization = 0.00 μB/f.u.
Uncorrected formation energy = -52.8 kJ per mole of atoms

a = 5.6625 Å, b = 5.6625 Å, c = 7.5475 Å
α = 54.40°, β = 54.40°, γ = 35.97°
With the nearest neighbours (Å) after each atom.
Fractional coordinates of all 4 atoms:
K (0.3750, 0.3750, 0.0000)  6 Se 3.29-3.36, 2 K 3.50
Be (0.3750, 0.3750, 0.5000)  4 Se 2.30
Se (0.9952, 0.9952, 0.2504)  2 Be 2.30
Se (0.7548, 0.7548, 0.7496)  2 Be 2.30



Record 5
Li8Tl2Sb: optimized geometry, PBE-GGA.

Computed properties:
Total magnetization = 0.00 μB/f.u.
Uncorrected formation energy = -32.9 kJ per mole of atoms

a = 4.6080 Å, b = 5.7521 Å, c = 8.0694 Å
α = 94.46°, β = 106.59°, γ = 90.00°
With the nearest neighbours (Å) after each atom.
Fractional coordinates of all 11 atoms:
Sb (0.5000, 0.0000, 0.0000)  8 Li 2.81-2.87
Li (0.0358, 0.7443, 0.0716)  5 Li 2.81-3.07, 2 Sb 2.81, 1 Tl 2.82
Li (0.5980, 0.4457, 0.1959)  1 Sb 2.87, 6 Li 2.88-3.14, 3 Tl 3.04-3.06
Li (0.3202, 0.0855, 0.6404)  4 Li 2.81-2.88, 3 Tl 2.84-2.93, 1 Sb 2.86
Li (0.6798, 0.9145, 0.3596)  4 Li 2.81-2.88, 3 Tl 2.84-2.93, 1 Sb 2.86
Li (0.8592, 0.8339, 0.7185)  7 Li 2.81-2.92, 1 Tl 2.87
Li (0.9642, 0.2557, 0.9284)  5 Li 2.81-3.07, 2 Sb 2.81, 1 Tl 2.82
Li (0.1408, 0.1661, 0.2815)  7 Li 2.81-2.92, 1 Tl 2.87
Li (0.4020, 0.5543, 0.8041)  1 Sb 2.87, 6 Li 2.88-3.14, 3 Tl 3.04-3.06
Tl (0.7889, 0.3561, 0.5779)  8 Li 2.82-3.06, 2 Tl 3.13
Tl (0.2111, 0.6439, 0.4221)  8 Li 2.82-3.06, 2 Tl 3.13



Record 6
NdDySiPd: optimized geometry, PBE-GGA.

Computed properties:
Total magnetization = 0.00 μB/f.u.
Uncorrected formation energy = -76.1 kJ per mole of atoms

a = 4.0734 Å, b = 4.2485 Å, c = 5.8409 Å
α = 90.00°, β = 110.41°, γ = 90.00°
With the nearest neighbours (Å) after each atom.
Fractional coordinates of all 4 atoms:
Dy (0.8627, 0.5000, 0.7253)  4 Pd 3.02, 3 Si 3.07-3.18
Pd (0.4238, 0.0000, 0.8475)  2 Si 2.67
Si (0.5722, 0.5000, 0.1444)  2 Pd 2.67
Nd (0.1414, 0.0000, 0.2828)  4 Si 3.04, 3 Pd 3.09-3.13